Entry 1:
This record from the Alexandria database describes a crystal of SrPb3I relaxed with PBEsol. The functional is meta-GGA SCAN.

calculated density: 5.99 g/cm3
Fermi-level density of states: 7.6 states/eV/f.u.
final energy: -56.637 eV per atom
ΔE_f (raw): 306.4 kJ/mol of formula units

Cell lengths 6.141, 6.141, 6.141 Å; angles 90.00, 90.00, 90.00 degrees
Space group Pm-3m (No. 221)
Symmetry-distinct sites (fractional):
1 Sr 0.000 0.000 0.000 (multiplicity 1)
2 Pb 0.000 0.000 0.500 (multiplicity 3)
3 I 0.500 0.500 0.500 (multiplicity 1)

Entry 2:
This record from the Alexandria database describes a crystal of SrTl2PbI relaxed with PBEsol. The functional is meta-GGA SCAN.

calculated density: 6.49 g/cm3
Fermi-level density of states: 3.5 states/eV/f.u.
final energy: -55.922 eV per atom
ΔE_f (raw): -9.4 kJ/mol of formula units

Cell lengths 5.862, 5.862, 6.189 Å; angles 90.00, 90.00, 90.00 degrees
Space group P4/mmm (No. 123)
Symmetry-distinct sites (fractional):
1 Sr 0.000 0.000 0.000 (multiplicity 1)
2 Tl 0.000 0.500 0.500 (multiplicity 2)
3 Pb 0.500 0.500 0.500 (multiplicity 1)
4 I 0.500 0.500 0.000 (multiplicity 1)

Entry 3:
This record from the Alexandria database describes a crystal of TaPb2I relaxed with PBEsol. The functional is meta-GGA SCAN.

calculated density: 11.62 g/cm3
Fermi-level density of states: 4.0 states/eV/f.u.
final energy: -62.571 eV per atom
ΔE_f (raw): 444.2 kJ/mol of formula units

Cell lengths 7.446, 7.446, 7.446 Å; angles 90.00, 90.00, 90.00 degrees
Space group Fm-3m (No. 225)
Symmetry-distinct sites (fractional):
1 Ta 0.000 0.000 0.000 (multiplicity 4)
2 Pb 0.250 0.250 0.250 (multiplicity 8)
3 I 0.000 0.000 0.500 (multiplicity 4)

Entry 4:
This record from the Alexandria database describes a crystal of TcPb3I relaxed with PBEsol. The functional is meta-GGA SCAN.

calculated density: 7.22 g/cm3
Fermi-level density of states: 4.8 states/eV/f.u.
final energy: -58.260 eV per atom
ΔE_f (raw): 757.0 kJ/mol of formula units

Cell lengths 5.795, 5.795, 5.795 Å; angles 90.00, 90.00, 90.00 degrees
Space group Pm-3m (No. 221)
Symmetry-distinct sites (fractional):
1 Tc 0.000 0.000 0.000 (multiplicity 1)
2 Pb 0.000 0.500 0.500 (multiplicity 3)
3 I 0.500 0.500 0.500 (multiplicity 1)

Entry 5:
This record from the Alexandria database describes a crystal of ZrTcPbI2 relaxed with PBEsol. The functional is meta-GGA SCAN.

calculated density: 5.98 g/cm3
Fermi-level density of states: 3.3 states/eV/f.u.
final energy: -41.518 eV per atom
ΔE_f (raw): 717.3 kJ/mol of formula units

Cell lengths 5.871, 5.871, 5.240 Å; angles 90.00, 90.00, 90.00 degrees
Space group P4/mmm (No. 123)
Symmetry-distinct sites (fractional):
1 Zr 0.000 0.000 0.000 (multiplicity 1)
2 Tc 0.500 0.500 0.000 (multiplicity 1)
3 Pb 0.500 0.500 0.500 (multiplicity 1)
4 I 0.000 0.500 0.500 (multiplicity 2)

Entry 6:
This record from the Alexandria database describes a crystal of ZnTePbI2 relaxed with PBEsol. The functional is meta-GGA SCAN.

calculated density: 6.86 g/cm3
Fermi-level density of states: 1.1 states/eV/f.u.
final energy: -40.044 eV per atom
ΔE_f (raw): -18.3 kJ/mol of formula units

Cell lengths 5.356, 5.356, 5.518 Å; angles 90.00, 90.00, 90.00 degrees
Space group P4/mmm (No. 123)
Symmetry-distinct sites (fractional):
1 Zn 0.000 0.000 0.000 (multiplicity 1)
2 Te 0.000 0.000 0.500 (multiplicity 1)
3 Pb 0.500 0.500 0.500 (multiplicity 1)
4 I 0.000 0.500 0.000 (multiplicity 2)